A plane-wave DFT calculation with GGA-PBE was carried out for crystalline Dy3Zn4Pt4 at its relaxed geometry.

Energy of formation ... -0.90 eV/atom

a = 4.003 Å, b = 7.466 Å, c = 8.235 Å
α = 116.96°, β = 104.07°, γ = 90.00°
Atoms (fractional coordinates):
Dy (0.124, 0.124, 0.248)
Dy (0.876, 0.876, 0.752)
Dy (0.000, 0.500, 0.000)
Zn (0.327, 0.128, 0.653)
Zn (0.673, 0.475, 0.347)
Zn (0.673, 0.872, 0.347)
Zn (0.327, 0.525, 0.653)
Pt (0.220, 0.720, 0.440)
Pt (0.780, 0.280, 0.560)
Pt (0.500, 0.804, 0.000)
Pt (0.500, 0.196, 0.000)

***

A plane-wave DFT calculation with GGA-PBE was carried out for crystalline Ti2GaTe2 at its relaxed geometry.

Formation energy from raw total energies ... -1.356 eV per formula unit
Distance to the lowest polymorph of the same formula ... 0.104 eV per atom

a = 4.096 Å, b = 4.096 Å, c = 7.985 Å
α = 75.14°, β = 75.14°, γ = 90.00°
Atoms (fractional coordinates):
Te (0.376, 0.376, 0.247)
Te (0.624, 0.624, 0.753)
Ga (0.000, 0.000, 0.000)
Ti (0.750, 0.250, 0.500)
Ti (0.250, 0.750, 0.500)